The following is a DFT calculation (GGA+U) of Na2PrMoO4 after structural relaxation.

Cell: 4.6453 4.6453 6.1404 Å, 112.23 112.23 90.00°
Positions (direct):
O  0.5414  0.0414  0.0829
O  0.2632  0.2632  0.5263
O  0.9586  0.4586  0.9171
O  0.7368  0.7368  0.4737
Pr  0.5000  0.5000  0.0000
Na  0.2500  0.7500  0.5000
Na  0.0000  0.0000  0.0000
Mo  0.7500  0.2500  0.5000

Calculated values
Symmetry: I-4m2 (119)
Electronic total energy: -50.86 eV per cell
Spin magnetization: 3.0 μB/cell